The following is a DFT calculation (PBE-GGA) of a relaxed structure of Tb2AgSn.

Properties
SG: P4/mmm (123)
Formation energy from the elements (eV/atom): -0.502

Structure (CIF):
```
data_Tb2AgSn
_chemical_formula_sum 'Tb2 Ag1 Sn1'
_cell_length_a 4.024
_cell_length_b 5.058
_cell_length_c 5.058
_cell_angle_alpha 90.00
_cell_angle_beta 90.00
_cell_angle_gamma 90.00
_space_group_name_H-M_alt 'P 1'
_space_group_IT_number 1
_space_group_name_Hall 'P 1'
loop_
_atom_site_label
_atom_site_fract_x
_atom_site_fract_y
_atom_site_fract_z
_atom_site_occupancy
Tb1 0.000 0.000 0.500 1
Tb2 0.000 0.500 0.000 1
Sn1 0.500 0.000 0.000 1
Ag1 0.500 0.500 0.500 1
```